1.
# TcRhAu GGA-PBE optimized geometry
data_TcRhAu
_cell_length_a 4.4865
_cell_length_b 4.4865
_cell_length_c 2.6841
_cell_angle_alpha 90.00
_cell_angle_beta 90.00
_cell_angle_gamma 120.00
_symmetry_space_group_name_H-M 'P -6 m 2'
_symmetry_Int_Tables_number 187
_symmetry_space_group_name_Hall 'P -6 2'
loop_
_atom_site_label
_atom_site_type_symbol
_atom_site_fract_x
_atom_site_fract_y
_atom_site_fract_z
Tc1 Tc 0.0000 0.0000 0.0000
Rh1 Rh 0.3333 0.6667 0.5000
Au1 Au 0.6667 0.3333 0.5000
# calculated volume	47	Å³ per cell
# formation energy from the elements	0.3305	eV/atom
# E above lowest polymorph	1.023	eV/f.u.
# electronic total energy	-0.2450	hartree per atom

=====

2.
# TaTiCuSe2 GGA-PBE optimized geometry
data_TaTiCuSe2
_cell_length_a 4.9436
_cell_length_b 4.9436
_cell_length_c 4.9945
_cell_angle_alpha 90.00
_cell_angle_beta 90.00
_cell_angle_gamma 90.00
_symmetry_space_group_name_H-M 'P 4/m m m'
_symmetry_Int_Tables_number 123
_symmetry_space_group_name_Hall '-P 4 2'
loop_
_atom_site_label
_atom_site_type_symbol
_atom_site_fract_x
_atom_site_fract_y
_atom_site_fract_z
Ta1 Ta 0.0000 0.0000 0.0000
Ti1 Ti 0.0000 0.0000 0.5000
Cu1 Cu 0.5000 0.5000 0.5000
Se1 Se 0.0000 0.5000 0.0000
# calculated volume	122	Å³ per cell
# electronic total energy	-0.2017	hartree per atom

=====

3.
# BeMoPt GGA-PBE optimized geometry
data_BeMoPt
_cell_length_a 4.1817
_cell_length_b 9.2790
_cell_length_c 4.0425
_cell_angle_alpha 90.00
_cell_angle_beta 90.00
_cell_angle_gamma 90.00
_symmetry_space_group_name_H-M 'C m c m'
_symmetry_Int_Tables_number 63
_symmetry_space_group_name_Hall '-C 2c 2'
loop_
_atom_site_label
_atom_site_type_symbol
_atom_site_fract_x
_atom_site_fract_y
_atom_site_fract_z
Be1 Be 0.0000 0.2487 0.2500
Mo1 Mo 0.0000 0.0840 0.7500
Pt1 Pt 0.0000 0.3913 0.7500
# calculated volume	157	Å³ per cell
# formation energy from the elements	-0.4065	eV/atom
# E above lowest polymorph	0.000	eV/f.u.
# electronic total energy	-0.2673	hartree per atom

=====

4.
# NaPbW2 GGA-PBE optimized geometry
data_NaPbW2
_cell_length_a 8.2594
_cell_length_b 8.2594
_cell_length_c 5.1721
_cell_angle_alpha 90.00
_cell_angle_beta 90.00
_cell_angle_gamma 90.00
_symmetry_space_group_name_H-M 'I -4 2 d'
_symmetry_Int_Tables_number 122
_symmetry_space_group_name_Hall 'I -4 2bw'
loop_
_atom_site_label
_atom_site_type_symbol
_atom_site_fract_x
_atom_site_fract_y
_atom_site_fract_z
Na1 Na 0.0000 0.0000 0.0000
Pb1 Pb 0.0000 0.0000 0.5000
W1 W 0.2094 0.7500 0.6250
# calculated volume	353	Å³ per cell
# formation energy from the elements	1.7123	eV/atom
# electronic total energy	-0.2213	hartree per atom

=====

5.
# SmAsO4 GGA-PBE optimized geometry
data_SmAsO4
_cell_length_a 7.2933
_cell_length_b 7.2933
_cell_length_c 6.4581
_cell_angle_alpha 90.00
_cell_angle_beta 90.00
_cell_angle_gamma 90.00
_symmetry_space_group_name_H-M 'I 41/a m d'
_symmetry_Int_Tables_number 141
loop_
_symmetry_equiv_pos_as_xyz
'x,y,z'
'-x,-y,-z'
'-y+1/4,x+3/4,z+1/4'
'y+1/4,-x+3/4,-z+1/4'
'-x+1/2,-y,z+1/2'
'x+1/2,y,-z+1/2'
'y+1/4,-x+1/4,z+3/4'
'-y+1/4,x+1/4,-z+3/4'
'x,-y,-z'
'-x,y,z'
'-y+1/4,-x+1/4,-z+3/4'
'y+1/4,x+1/4,z+3/4'
'-x+1/2,y,-z+1/2'
'x+1/2,-y,z+1/2'
'y+1/4,x+3/4,-z+1/4'
'-y+1/4,-x+3/4,z+1/4'
'x+1/2,y+1/2,z+1/2'
'-x+1/2,-y+1/2,-z+1/2'
'-y+3/4,x+1/4,z+3/4'
'y+3/4,-x+1/4,-z+3/4'
'-x,-y+1/2,z'
'x,y+1/2,-z'
'y+3/4,-x+3/4,z+1/4'
'-y+3/4,x+3/4,-z+1/4'
'x+1/2,-y+1/2,-z+1/2'
'-x+1/2,y+1/2,z+1/2'
'-y+3/4,-x+3/4,-z+1/4'
'y+3/4,x+3/4,z+1/4'
'-x,y+1/2,-z'
'x,-y+1/2,z'
'y+3/4,x+1/4,-z+3/4'
'-y+3/4,-x+1/4,z+3/4'
loop_
_atom_site_label
_atom_site_type_symbol
_atom_site_fract_x
_atom_site_fract_y
_atom_site_fract_z
Sm1 Sm 0.0000 0.2500 0.3750
As1 As 0.0000 0.2500 0.8750
O1 O 0.0000 0.0705 0.7020
# calculated volume	344	Å³ per cell
# E above lowest polymorph	0.000	eV/f.u.
# electronic total energy	-0.2654	hartree per atom

=====

6.
# TbHo2In3Te6 GGA-PBE optimized geometry
data_TbHo2In3Te6
_cell_length_a 7.6337
_cell_length_b 13.2206
_cell_length_c 8.5055
_cell_angle_alpha 90.00
_cell_angle_beta 107.42
_cell_angle_gamma 90.00
_symmetry_space_group_name_H-M 'C 1 2/m 1'
_symmetry_Int_Tables_number 12
_symmetry_space_group_name_Hall '-C 2y'
loop_
_atom_site_label
_atom_site_type_symbol
_atom_site_fract_x
_atom_site_fract_y
_atom_site_fract_z
Tb1 Tb 0.0000 0.0000 0.0000
Ho1 Ho 0.0000 0.3333 0.0000
In1 In 0.0000 0.1661 0.5000
In2 In 0.0000 0.5000 0.5000
Te1 Te 0.2374 0.5000 0.2181
Te2 Te 0.2406 0.1677 0.2186
# calculated volume	819	Å³ per cell
# electronic total energy	-0.1606	hartree per atom

=====

7.
# TcNiRh6 GGA-PBE optimized geometry
data_TcNiRh6
_cell_length_a 3.8132
_cell_length_b 3.8132
_cell_length_c 7.6434
_cell_angle_alpha 90.00
_cell_angle_beta 90.00
_cell_angle_gamma 90.00
_symmetry_space_group_name_H-M 'P 4/m m m'
_symmetry_Int_Tables_number 123
_symmetry_space_group_name_Hall '-P 4 2'
loop_
_atom_site_label
_atom_site_type_symbol
_atom_site_fract_x
_atom_site_fract_y
_atom_site_fract_z
Tc1 Tc 0.0000 0.0000 0.0000
Ni1 Ni 0.0000 0.0000 0.5000
Rh1 Rh 0.0000 0.5000 0.2490
Rh2 Rh 0.5000 0.5000 0.0000
Rh3 Rh 0.5000 0.5000 0.5000
# calculated volume	111	Å³ per cell
# formation energy from the elements	-0.0389	eV/atom
# electronic total energy	-0.2782	hartree per atom

=====

8.
# Er3PaCo8 GGA-PBE optimized geometry
data_Er3PaCo8
_cell_length_a 4.9910
_cell_length_b 4.9910
_cell_length_c 24.3843
_cell_angle_alpha 90.00
_cell_angle_beta 90.00
_cell_angle_gamma 120.00
_symmetry_space_group_name_H-M 'R 3 m'
_symmetry_Int_Tables_number 160
_symmetry_space_group_name_Hall 'R 3 -2"'
loop_
_atom_site_label
_atom_site_type_symbol
_atom_site_fract_x
_atom_site_fract_y
_atom_site_fract_z
Er1 Er 0.0000 0.0000 0.0000
Er2 Er 0.0000 0.0000 0.1243
Er3 Er 0.0000 0.0000 0.6281
Pa1 Pa 0.0000 0.0000 0.5022
Co1 Co 0.0000 0.0000 0.3138
Co2 Co 0.0000 0.0000 0.8131
Co3 Co 0.0033 0.5016 0.0646
Co4 Co 0.1688 0.3376 0.8958
# calculated volume	526	Å³ per cell
# formation energy from the elements	-0.2410	eV/atom
# electronic total energy	-0.2539	hartree per atom

=====

9.
# Te3IrCl GGA-PBE optimized geometry
data_Te3IrCl
_cell_length_a 5.2123
_cell_length_b 5.2123
_cell_length_c 5.2123
_cell_angle_alpha 90.00
_cell_angle_beta 90.00
_cell_angle_gamma 90.00
_symmetry_space_group_name_H-M 'P m -3 m'
_symmetry_Int_Tables_number 221
_symmetry_space_group_name_Hall '-P 4 2 3'
loop_
_atom_site_label
_atom_site_type_symbol
_atom_site_fract_x
_atom_site_fract_y
_atom_site_fract_z
Te1 Te 0.0000 0.0000 0.5000
Ir1 Ir 0.5000 0.5000 0.5000
Cl1 Cl 0.0000 0.0000 0.0000
# calculated volume	142	Å³ per cell
# E above lowest polymorph	5.647	eV/f.u.
# electronic total energy	-0.0902	hartree per atom

=====

10.
# La3Pm7Y2 GGA-PBE optimized geometry
data_La3Pm7Y2
_cell_length_a 6.6763
_cell_length_b 6.6763
_cell_length_c 34.3395
_cell_angle_alpha 90.00
_cell_angle_beta 90.00
_cell_angle_gamma 120.00
_symmetry_space_group_name_H-M 'R -3 m'
_symmetry_Int_Tables_number 166
_symmetry_space_group_name_Hall '-R 3 2"'
loop_
_atom_site_label
_atom_site_type_symbol
_atom_site_fract_x
_atom_site_fract_y
_atom_site_fract_z
La1 La 0.0000 0.0000 0.0000
La2 La 0.0000 0.0000 0.1529
Pm1 Pm 0.0000 0.0000 0.5000
Pm2 Pm 0.0032 0.5016 0.9161
Y1 Y 0.0000 0.0000 0.3338
# calculated volume	1326	Å³ per cell
# formation energy from the elements	0.2561	eV/atom
# E above lowest polymorph	2.084	eV/f.u.
# electronic total energy	-0.1773	hartree per atom

=====

11.
# CsHf2BeIn GGA-PBE optimized geometry
data_CsHf2BeIn
_cell_length_a 5.0311
_cell_length_b 5.0311
_cell_length_c 5.1202
_cell_angle_alpha 90.00
_cell_angle_beta 90.00
_cell_angle_gamma 90.00
_symmetry_space_group_name_H-M 'P 4/m m m'
_symmetry_Int_Tables_number 123
_symmetry_space_group_name_Hall '-P 4 2'
loop_
_atom_site_label
_atom_site_type_symbol
_atom_site_fract_x
_atom_site_fract_y
_atom_site_fract_z
Cs1 Cs 0.0000 0.0000 0.0000
Hf1 Hf 0.0000 0.5000 0.5000
Be1 Be 0.0000 0.0000 0.5000
In1 In 0.5000 0.5000 0.0000
# calculated volume	130	Å³ per cell
# formation energy from the elements	1.0943	eV/atom
# electronic total energy	-0.1599	hartree per atom